DFT (PBE-GGA) results for TaFeCuSi after structural relaxation.

```
TaFeCuSi
1.0
0.000 2.981 2.981
2.981 0.000 2.981
2.981 2.981 0.000
Ta Fe Cu Si
1 1 1 1
direct
0.000 0.000 0.000
0.750 0.750 0.750
0.500 0.500 0.500
0.250 0.250 0.250
```

- Magnetic moment: 0.16 μB/atom
- VASP energy: -29.350 eV per formula unit
- SG: F-43m, No. 216
- Polymorph energy (0 for the lowest one): 0.147 eV per atom